#i
The following is a DFT calculation (PBE+U) of a relaxed CoSeIO2 crystal.

The density of states at the Fermi level is 4.05 states/eV per cell.

The structure belongs to space group P4/mmm (No. 123); the cell edges are 3.862, 3.862 and 6.853 Å and the angles 90.00°, 90.00° and 90.00°. Symmetry generates all atoms from Co at (0.000, 0.000, 0.000), Se at (0.500, 0.500, 0.500), I at (0.000, 0.000, 0.500) and O at (0.000, 0.500, 0.000).

---

#ii
The following is a DFT calculation (PBE+U) of a relaxed CoSeIO2 crystal.

The density of states at the Fermi level is 2.02 states/eV per cell.

The structure belongs to space group P4/mmm (No. 123); the cell edges are 3.831, 3.831 and 7.260 Å and the angles 90.00°, 90.00° and 90.00°. Symmetry generates all atoms from Co at (0.000, 0.000, 0.000), Se at (0.500, 0.500, 0.500), I at (0.500, 0.500, 0.000) and O at (0.000, 0.500, 0.500).

---

Result of the stability comparison: #i is the least stable of them.